{
  "formula": "Tb4Dy3Cd2",
  "functional": "PBE",
  "state": "optimized geometry",
  "e_form_ev_per_atom": -0.076,
  "dos_ef_per_ev_fu": 10.881,
  "cell": [[7.342, -2.443, 0.000], [7.342, 2.443, 0.000], [-2.484, 0.000, 7.339]],
  "species": ["Tb", "Tb", "Tb", "Tb", "Dy", "Dy", "Dy", "Cd", "Cd"],
  "frac_coords": [[0.055, 0.055, 0.333], [0.279, 0.279, 0.680], [0.721, 0.721, 0.320], [0.945, 0.945, 0.667], [0.386, 0.386, 0.327], [0.500, 0.500, 0.000], [0.614, 0.614, 0.673], [0.166, 0.166, 0.998], [0.834, 0.834, 0.002]]
}

{
  "formula": "Tb12Dy7Cd",
  "functional": "PBE",
  "state": "optimized geometry",
  "e_form_ev_per_atom": 0.138,
  "dos_ef_per_ev_fu": 37.737,
  "cell": [[7.403, 4.274, 3.362], [-7.403, 4.274, 3.362], [0.000, -8.548, 3.362]],
  "species": ["Tb", "Tb", "Tb", "Tb", "Tb", "Tb", "Tb", "Tb", "Tb", "Tb", "Tb", "Tb", "Dy", "Dy", "Dy", "Dy", "Dy", "Dy", "Dy", "Cd"],
  "frac_coords": [[0.099, 0.202, 0.441], [0.119, 0.823, 0.281], [0.177, 0.719, 0.881], [0.202, 0.441, 0.099], [0.281, 0.119, 0.823], [0.441, 0.099, 0.202], [0.559, 0.901, 0.798], [0.719, 0.881, 0.177], [0.798, 0.559, 0.901], [0.823, 0.281, 0.119], [0.881, 0.177, 0.719], [0.901, 0.798, 0.559], [0.000, 0.000, 0.000], [0.187, 0.600, 0.492], [0.400, 0.508, 0.813], [0.492, 0.187, 0.600], [0.508, 0.813, 0.400], [0.600, 0.492, 0.187], [0.813, 0.400, 0.508], [0.500, 0.500, 0.500]]
}

{
  "formula": "Tb2DyCd2",
  "functional": "PBE",
  "state": "optimized geometry",
  "e_form_ev_per_atom": -0.258,
  "dos_ef_per_ev_fu": 5.005,
  "de_polymorph_ev_per_fu": 0.00,
  "cell": [[3.728, 0.000, 0.000], [0.000, 5.350, 0.000], [-1.867, 0.000, 13.783]],
  "species": ["Tb", "Tb", "Tb", "Tb", "Dy", "Dy", "Cd", "Cd", "Cd", "Cd"],
  "frac_coords": [[0.046, 0.250, 0.090], [0.235, 0.250, 0.471], [0.765, 0.750, 0.529], [0.954, 0.750, 0.910], [0.149, 0.750, 0.298], [0.851, 0.250, 0.702], [0.360, 0.750, 0.719], [0.447, 0.250, 0.895], [0.553, 0.750, 0.105], [0.640, 0.250, 0.281]]
}

{
  "formula": "Tb5DyCd6",
  "functional": "PBE",
  "state": "optimized geometry",
  "e_form_ev_per_atom": -0.319,
  "dos_ef_per_ev_fu": 15.130,
  "cell": [[2.651, -7.959, 0.000], [2.651, 7.959, 0.000], [0.000, 0.000, 7.541]],
  "species": ["Tb", "Tb", "Tb", "Tb", "Tb", "Dy", "Cd", "Cd", "Cd", "Cd", "Cd", "Cd"],
  "frac_coords": [[0.000, 0.000, 0.000], [0.333, 0.667, 0.000], [0.334, 0.666, 0.500], [0.666, 0.334, 0.500], [0.667, 0.333, 0.000], [0.000, 0.000, 0.500], [0.166, 0.834, 0.251], [0.166, 0.834, 0.749], [0.500, 0.500, 0.251], [0.500, 0.500, 0.749], [0.834, 0.166, 0.251], [0.834, 0.166, 0.749]]
}

{
  "formula": "Tb2Dy6Cd",
  "functional": "PBE",
  "state": "optimized geometry",
  "e_form_ev_per_atom": 0.095,
  "dos_ef_per_ev_fu": 13.946,
  "de_polymorph_ev_per_fu": 0.99,
  "cell": [[7.466, -4.197, 0.000], [7.466, 4.197, 0.000], [-1.506, 0.000, 8.958]],
  "species": ["Tb", "Tb", "Tb", "Tb", "Dy", "Dy", "Dy", "Dy", "Dy", "Dy", "Dy", "Dy", "Dy", "Dy", "Dy", "Dy", "Cd", "Cd"],
  "frac_coords": [[0.134, 0.316, 0.358], [0.316, 0.134, 0.858], [0.684, 0.866, 0.142], [0.866, 0.684, 0.642], [0.080, 0.634, 0.973], [0.107, 0.733, 0.377], [0.267, 0.893, 0.123], [0.341, 0.437, 0.666], [0.366, 0.920, 0.527], [0.437, 0.341, 0.166], [0.563, 0.659, 0.834], [0.634, 0.080, 0.473], [0.659, 0.563, 0.334], [0.733, 0.107, 0.877], [0.893, 0.267, 0.623], [0.920, 0.366, 0.027], [0.126, 0.874, 0.750], [0.874, 0.126, 0.250]]
}

{
  "formula": "Tb5Dy2Cd",
  "functional": "PBE",
  "state": "optimized geometry",
  "e_form_ev_per_atom": 0.003,
  "dos_ef_per_ev_fu": 8.102,
  "de_polymorph_ev_per_fu": 0.30,
  "cell": [[3.705, -5.750, 0.000], [3.705, 5.750, 0.000], [-3.705, 0.000, 5.751]],
  "species": ["Tb", "Tb", "Tb", "Tb", "Tb", "Dy", "Dy", "Cd"],
  "frac_coords": [[0.000, 0.000, 0.000], [0.000, 0.451, 0.450], [0.451, 0.000, 0.450], [0.451, 0.451, 0.900], [0.539, 0.539, 0.449], [0.468, 0.969, 0.950], [0.969, 0.468, 0.950], [0.960, 0.960, 0.451]]
}

{
  "formula": "Tb3Dy4Cd2",
  "functional": "PBE",
  "state": "optimized geometry",
  "e_form_ev_per_atom": -0.076,
  "dos_ef_per_ev_fu": 11.100,
  "cell": [[7.332, -2.439, 0.000], [7.332, 2.439, 0.000], [-2.482, 0.000, 7.347]],
  "species": ["Tb", "Tb", "Tb", "Dy", "Dy", "Dy", "Dy", "Cd", "Cd"],
  "frac_coords": [[0.000, 0.000, 0.000], [0.114, 0.114, 0.672], [0.886, 0.886, 0.328], [0.221, 0.221, 0.320], [0.444, 0.444, 0.667], [0.556, 0.556, 0.333], [0.779, 0.779, 0.680], [0.334, 0.334, 0.001], [0.666, 0.666, 0.999]]
}

{
  "formula": "Tb3Dy5Cd2",
  "functional": "PBE",
  "state": "optimized geometry",
  "e_form_ev_per_atom": 0.170,
  "dos_ef_per_ev_fu": 12.406,
  "cell": [[-6.612, 7.231, 3.311], [6.612, -7.231, 3.311], [6.612, 7.231, -3.311]],
  "species": ["Tb", "Tb", "Tb", "Tb", "Tb", "Tb", "Dy", "Dy", "Dy", "Dy", "Dy", "Dy", "Dy", "Dy", "Dy", "Dy", "Cd", "Cd", "Cd", "Cd"],
  "frac_coords": [[0.220, 0.141, 0.361], [0.250, 0.250, 0.000], [0.280, 0.641, 0.921], [0.720, 0.359, 0.079], [0.750, 0.750, 0.000], [0.780, 0.859, 0.639], [0.173, 0.402, 0.575], [0.250, 0.511, 0.261], [0.250, 0.750, 0.500], [0.250, 0.989, 0.739], [0.327, 0.902, 0.230], [0.673, 0.098, 0.770], [0.750, 0.011, 0.261], [0.750, 0.250, 0.500], [0.750, 0.489, 0.739], [0.827, 0.598, 0.425], [0.134, 0.867, 0.002], [0.366, 0.367, 0.733], [0.634, 0.633, 0.267], [0.866, 0.133, 0.998]]
}

{
  "formula": "TbDy2Cd2",
  "functional": "PBE",
  "state": "optimized geometry",
  "e_form_ev_per_atom": -0.259,
  "dos_ef_per_ev_fu": 4.905,
  "de_polymorph_ev_per_fu": 0.00,
  "cell": [[3.722, 0.000, 0.000], [0.000, 5.352, 0.000], [-1.864, 0.000, 13.750]],
  "species": ["Tb", "Tb", "Dy", "Dy", "Dy", "Dy", "Cd", "Cd", "Cd", "Cd"],
  "frac_coords": [[0.150, 0.250, 0.298], [0.850, 0.750, 0.702], [0.046, 0.750, 0.091], [0.236, 0.750, 0.472], [0.764, 0.250, 0.528], [0.954, 0.250, 0.909], [0.359, 0.250, 0.719], [0.448, 0.750, 0.898], [0.552, 0.250, 0.102], [0.641, 0.750, 0.281]]
}

{
  "formula": "Tb4Dy5Cd",
  "functional": "PBE",
  "state": "optimized geometry",
  "e_form_ev_per_atom": 0.059,
  "dos_ef_per_ev_fu": 19.093,
  "de_polymorph_ev_per_fu": 0.00,
  "cell": [[4.090, 0.000, 0.000], [0.000, 4.090, 0.000], [0.000, 0.000, 18.343]],
  "species": ["Tb", "Tb", "Tb", "Tb", "Dy", "Dy", "Dy", "Dy", "Dy", "Cd"],
  "frac_coords": [[0.000, 0.000, 0.101], [0.000, 0.000, 0.301], [0.000, 0.000, 0.699], [0.000, 0.000, 0.899], [0.500, 0.500, 0.000], [0.500, 0.500, 0.203], [0.500, 0.500, 0.408], [0.500, 0.500, 0.592], [0.500, 0.500, 0.797], [0.000, 0.000, 0.500]]
}

{
  "formula": "Tb4DyCd2",
  "functional": "PBE",
  "state": "optimized geometry",
  "e_form_ev_per_atom": 0.218,
  "dos_ef_per_ev_fu": 10.296,
  "cell": [[2.564, 1.481, 10.163], [-2.564, 1.481, 10.163], [0.000, -2.961, 10.163]],
  "species": ["Tb", "Tb", "Tb", "Tb", "Dy", "Cd", "Cd"],
  "frac_coords": [[0.108, 0.108, 0.108], [0.297, 0.297, 0.297], [0.703, 0.703, 0.703], [0.892, 0.892, 0.892], [0.500, 0.500, 0.500], [0.400, 0.400, 0.400], [0.600, 0.600, 0.600]]
}

{
  "formula": "Tb3Dy3Cd",
  "functional": "PBE",
  "state": "optimized geometry",
  "e_form_ev_per_atom": -0.036,
  "dos_ef_per_ev_fu": 9.914,
  "cell": [[9.380, 0.000, 0.000], [0.000, 5.528, 0.000], [-4.687, 0.000, 8.130]],
  "species": ["Tb", "Tb", "Tb", "Tb", "Tb", "Tb", "Dy", "Dy", "Dy", "Dy", "Dy", "Dy", "Cd", "Cd"],
  "frac_coords": [[0.022, 0.250, 0.128], [0.129, 0.750, 0.607], [0.393, 0.750, 0.022], [0.607, 0.250, 0.978], [0.871, 0.250, 0.393], [0.978, 0.750, 0.872], [0.258, 0.750, 0.320], [0.320, 0.250, 0.562], [0.438, 0.250, 0.258], [0.562, 0.750, 0.742], [0.680, 0.750, 0.438], [0.742, 0.250, 0.680], [0.167, 0.250, 0.834], [0.833, 0.750, 0.166]]
}

Q: Number 2 is which compound?
A: Tb12Dy7Cd